# 1
KYH8N4: single point on PBEsol structure, meta-GGA SCAN.

a b c (Å): 5.793 6.573 8.945
angles (deg): 104.82 101.37 110.16
Fractional coordinates of all 28 atoms:
K 0.555 0.305 0.611
K 0.445 0.695 0.389
Y 0.683 0.933 0.866
Y 0.317 0.067 0.134
H 0.908 0.609 0.956
H 0.223 0.484 0.702
H 0.061 0.702 0.833
H 0.548 0.347 0.956
H 0.833 0.349 0.392
H 0.059 0.042 0.392
H 0.272 0.131 0.833
H 0.021 0.782 0.298
H 0.979 0.218 0.702
H 0.728 0.869 0.167
H 0.941 0.958 0.608
H 0.167 0.651 0.608
H 0.452 0.653 0.044
H 0.939 0.298 0.167
H 0.777 0.516 0.298
H 0.092 0.391 0.044
N 0.317 0.623 0.670
N 0.953 0.739 0.907
N 0.147 0.952 0.330
N 0.454 0.169 0.907
N 0.546 0.831 0.093
N 0.853 0.048 0.670
N 0.047 0.261 0.093
N 0.683 0.377 0.330

Properties
Symmetry: C2/c
VASP energy in eV/atom: -7.866
Total moment in μB per formula unit: 0.0
Density of states at the Fermi level in states/eV/cell: 0.00


# 2
Y4MgCo: single point on PBEsol structure, meta-GGA SCAN.

a b c (Å): 9.472 9.472 9.472
angles (deg): 60.00 60.00 60.00
Last column: magnetic moment on the atom in μB.
Fractional coordinates of all 24 atoms:
Y 0.656 0.656 0.032  0.05
Y 0.032 0.656 0.656  0.05
Y 0.656 0.656 0.656  0.05
Y 0.656 0.032 0.656  0.05
Y 0.814 0.186 0.186  0.07
Y 0.186 0.814 0.814  0.07
Y 0.814 0.814 0.186  0.07
Y 0.186 0.186 0.814  0.07
Y 0.186 0.814 0.186  0.07
Y 0.814 0.186 0.814  0.07
Y 0.438 0.062 0.062  0.06
Y 0.062 0.438 0.438  0.06
Y 0.438 0.438 0.062  0.06
Y 0.062 0.062 0.438  0.06
Y 0.062 0.438 0.062  0.06
Y 0.438 0.062 0.438  0.06
Mg 0.421 0.421 0.738  0.01
Mg 0.738 0.421 0.421  0.01
Mg 0.421 0.421 0.421  0.01
Mg 0.421 0.738 0.421  0.01
Co 0.859 0.859 0.422  -0.04
Co 0.422 0.859 0.859  -0.04
Co 0.859 0.859 0.859  -0.04
Co 0.859 0.422 0.859  -0.04

Properties
Symmetry: F-43m
Total moment in μB per formula unit: 0.4
Polymorph energy (0 for the lowest one) in meV per atom: 0
Formation energy in eV/atom: -0.107
Density of states at the Fermi level in states/eV/cell: 23.65


# 3
Ba2InHg2: single point on PBEsol structure, meta-GGA SCAN.

a b c (Å): 4.494 8.620 8.620
angles (deg): 90.00 90.00 90.00
Fractional coordinates of all 10 atoms:
In 0.000 0.000 0.000
In 0.000 0.500 0.500
Hg 0.000 0.376 0.876
Hg 0.000 0.876 0.624
Hg 0.000 0.624 0.124
Hg 0.000 0.124 0.376
Ba 0.500 0.177 0.677
Ba 0.500 0.677 0.823
Ba 0.500 0.823 0.323
Ba 0.500 0.323 0.177

Properties
Symmetry: P4/mbm
Total moment in μB per formula unit: 0.0
Polymorph energy (0 for the lowest one) in meV per atom: 0
Formation energy in eV/atom: -0.571
Density of states at the Fermi level in states/eV/cell: 7.90


# 4
Zr2ScIn: single point on PBEsol structure, meta-GGA SCAN.

a b c (Å): 4.379 4.379 4.461
angles (deg): 90.00 90.00 90.00
Fractional coordinates of all 4 atoms:
Sc 0.000 0.000 0.500
Zr 0.000 0.500 0.000
Zr 0.500 0.000 0.000
In 0.500 0.500 0.500

Properties
Symmetry: P4/mmm
Total moment in μB per formula unit: 0.0
Formation energy in eV/atom: -0.328
Density of states at the Fermi level in states/eV/cell: 4.50


# 5
LiCaTl: single point on PBEsol structure, meta-GGA SCAN.

a b c (Å): 3.806 3.806 5.864
angles (deg): 108.93 108.93 90.00
Fractional coordinates of all 3 atoms:
Tl 0.686 0.686 0.372
Ca 0.004 0.004 0.007
Li 0.310 0.310 0.621

Properties
Symmetry: I4mm
Total moment in μB per formula unit: 0.0
Polymorph energy (0 for the lowest one) in meV per atom: 22
Formation energy in eV/atom: -0.402
Density of states at the Fermi level in states/eV/cell: 0.79


# 6
Ru3Rh: single point on PBEsol structure, meta-GGA SCAN.

a b c (Å): 2.688 4.252 4.659
angles (deg): 90.00 90.00 90.00
Fractional coordinates of all 4 atoms:
Ru 0.000 0.500 0.333
Ru 0.500 0.000 0.501
Ru 0.500 0.500 0.832
Rh 0.000 0.000 0.000

Properties
Symmetry: Pmm2
Total moment in μB per formula unit: 0.0
Formation energy in eV/atom: 0.012
Density of states at the Fermi level in states/eV/cell: 3.18


# 7
ScTeOs2Pb: single point on PBEsol structure, meta-GGA SCAN.

a b c (Å): 4.768 4.768 5.564
angles (deg): 90.00 90.00 90.00
Fractional coordinates of all 5 atoms:
Pb 0.000 0.000 0.500
Sc 0.500 0.500 0.500
Te 0.000 0.000 0.000
Os 0.000 0.500 0.000
Os 0.500 0.000 0.000

Properties
Symmetry: P4/mmm
VASP energy in eV/atom: -52.622
Total moment in μB per formula unit: 0.0
Density of states at the Fermi level in states/eV/cell: 2.48


# 8
K2PAu: single point on PBEsol structure, meta-GGA SCAN.

a b c (Å): 6.088 6.088 6.050
angles (deg): 90.00 90.00 105.61
Fractional coordinates of all 8 atoms:
P 0.249 0.249 0.250
P 0.751 0.751 0.750
K 0.682 0.027 0.250
K 0.318 0.973 0.750
K 0.027 0.682 0.250
K 0.973 0.318 0.750
Au 0.500 0.500 0.000
Au 0.500 0.500 0.500

Properties
Symmetry: Cmcm
Total moment in μB per formula unit: 0.0
Formation energy in eV/atom: -0.637


# 9
Co2HgO4: single point on PBEsol structure, meta-GGA SCAN.

a b c (Å): 5.934 5.934 5.934
angles (deg): 60.00 60.00 60.00
Fractional coordinates of all 14 atoms:
Co 0.125 0.625 0.125
Co 0.625 0.125 0.125
Co 0.125 0.125 0.625
Co 0.125 0.125 0.125
Hg 0.500 0.500 0.500
Hg 0.750 0.750 0.750
O 0.899 0.899 0.899
O 0.351 0.351 0.947
O 0.351 0.947 0.351
O 0.899 0.899 0.303
O 0.303 0.899 0.899
O 0.351 0.351 0.351
O 0.947 0.351 0.351
O 0.899 0.303 0.899

Properties
Symmetry: Fd-3m
Total moment in μB per formula unit: 0.0
Polymorph energy (0 for the lowest one) in meV per atom: 16


# 10
KMnSn3O8: single point on PBEsol structure, meta-GGA SCAN.

a b c (Å): 3.205 10.456 10.258
angles (deg): 90.13 90.00 90.00
Last column: magnetic moment on the atom in μB.
Fractional coordinates of all 26 atoms:
K 0.325 0.009 0.018  0.00
K 0.675 0.509 0.518  0.00
Mn 0.751 0.648 0.832  3.70
Mn 0.249 0.148 0.332  3.70
Sn 0.225 0.843 0.674  0.01
Sn 0.775 0.343 0.174  0.01
Sn 0.759 0.844 0.345  0.01
Sn 0.241 0.344 0.845  0.01
Sn 0.729 0.162 0.643  0.02
Sn 0.271 0.662 0.143  0.02
O 0.258 0.965 0.323  0.01
O 0.742 0.465 0.823  0.01
O 0.227 0.040 0.679  0.01
O 0.773 0.540 0.179  0.01
O 0.728 0.845 0.543  0.01
O 0.272 0.345 0.043  0.01
O 0.716 0.150 0.449  0.06
O 0.284 0.650 0.949  0.06
O 0.722 0.837 0.807  0.00
O 0.278 0.337 0.307  0.00
O 0.834 0.150 0.195  0.04
O 0.166 0.650 0.695  0.04
O 0.231 0.298 0.645  0.01
O 0.769 0.798 0.145  0.01
O 0.262 0.709 0.345  0.00
O 0.738 0.209 0.845  0.00

Properties
Symmetry: Pc
Total moment in μB per formula unit: 4.0
Polymorph energy (0 for the lowest one) in meV per atom: 3
Density of states at the Fermi level in states/eV/cell: 0.11


# 11
Ir2SeCl: single point on PBEsol structure, meta-GGA SCAN.

a b c (Å): 2.981 4.281 5.252
angles (deg): 100.18 90.00 110.38
Fractional coordinates of all 4 atoms:
Ir 0.756 0.512 0.766
Ir 0.244 0.488 0.234
Se 0.500 0.000 0.000
Cl 0.000 0.000 0.500

Properties
Symmetry: C2/m
Total moment in μB per formula unit: 0.0
Polymorph energy (0 for the lowest one) in meV per atom: 0
Density of states at the Fermi level in states/eV/cell: 3.12


# 12
Hf3SnPb: single point on PBEsol structure, meta-GGA SCAN.

a b c (Å): 5.181 5.181 5.181
angles (deg): 90.00 90.00 90.00
Fractional coordinates of all 5 atoms:
Pb 0.500 0.500 0.500
Hf 0.000 0.500 0.000
Hf 0.000 0.000 0.500
Hf 0.500 0.000 0.000
Sn 0.000 0.000 0.000

Properties
Symmetry: Pm-3m
Total moment in μB per formula unit: 0.0
Formation energy in eV/atom: 0.925
Density of states at the Fermi level in states/eV/cell: 4.96